## Ca5Pt (GGA-PBE)

Data for an optimized crystal structure of Ca5Pt.

The formation energy comes out at 531 meV/atom. As for the space-group type: P6/mmm (191). The calculation puts the calculated total energy at -2.14 eV/atom. Its crystal system is hexagonal. For the total moment, the calculation gives 0.00 μB per formula unit.

a b c (Å): 6.3600 6.3600 6.4043
angles (deg): 90.00 90.00 120.00
Positions (direct):
Ca 0.0000 0.5000 0.5000
Ca 0.6667 0.3333 0.0000
Pt 0.0000 0.0000 0.0000
Ca 0.3333 0.6667 0.0000
Ca 0.5000 0.0000 0.5000
Ca 0.5000 0.5000 0.5000